{
  "formula": "Rb12Cd5Bi3",
  "functional": "PBE",
  "state": "optimized geometry",
  "lattice_angstrom": [[-10.858, 10.858, 10.858], [10.858, -10.858, 10.858], [10.858, 10.858, -10.858]],
  "species": ["Rb", "Rb", "Rb", "Rb", "Rb", "Rb", "Rb", "Rb", "Rb", "Rb", "Rb", "Rb", "Rb", "Rb", "Rb", "Rb", "Rb", "Rb", "Rb", "Rb", "Rb", "Rb", "Rb", "Rb", "Rb", "Rb", "Rb", "Rb", "Rb", "Rb", "Rb", "Rb", "Rb", "Rb", "Rb", "Rb", "Rb", "Rb", "Rb", "Rb", "Rb", "Rb", "Rb", "Rb", "Rb", "Rb", "Rb", "Rb", "Cd", "Cd", "Cd", "Cd", "Cd", "Cd", "Cd", "Cd", "Cd", "Cd", "Cd", "Cd", "Cd", "Cd", "Cd", "Cd", "Cd", "Cd", "Cd", "Cd", "Bi", "Bi", "Bi", "Bi", "Bi", "Bi", "Bi", "Bi", "Bi", "Bi", "Bi", "Bi"],
  "frac_coords": [[0.065, 0.235, 0.141], [0.065, 0.331, 0.924], [0.076, 0.641, 0.406], [0.076, 0.935, 0.669], [0.094, 0.735, 0.669], [0.094, 0.859, 0.424], [0.141, 0.065, 0.235], [0.141, 0.576, 0.906], [0.169, 0.235, 0.594], [0.169, 0.435, 0.576], [0.235, 0.141, 0.065], [0.235, 0.594, 0.169], [0.265, 0.331, 0.906], [0.265, 0.435, 0.359], [0.331, 0.906, 0.265], [0.331, 0.924, 0.065], [0.359, 0.265, 0.435], [0.359, 0.594, 0.924], [0.406, 0.076, 0.641], [0.406, 0.831, 0.765], [0.424, 0.094, 0.859], [0.424, 0.831, 0.565], [0.435, 0.359, 0.265], [0.435, 0.576, 0.169], [0.565, 0.424, 0.831], [0.565, 0.641, 0.735], [0.576, 0.169, 0.435], [0.576, 0.906, 0.141], [0.594, 0.169, 0.235], [0.594, 0.924, 0.359], [0.641, 0.406, 0.076], [0.641, 0.735, 0.565], [0.669, 0.076, 0.935], [0.669, 0.094, 0.735], [0.735, 0.565, 0.641], [0.735, 0.669, 0.094], [0.765, 0.406, 0.831], [0.765, 0.859, 0.935], [0.831, 0.565, 0.424], [0.831, 0.765, 0.406], [0.859, 0.424, 0.094], [0.859, 0.935, 0.765], [0.906, 0.141, 0.576], [0.906, 0.265, 0.331], [0.924, 0.065, 0.331], [0.924, 0.359, 0.594], [0.935, 0.669, 0.076], [0.935, 0.765, 0.859], [0.000, 0.000, 0.000], [0.000, 0.000, 0.500], [0.000, 0.500, 0.000], [0.000, 0.500, 0.500], [0.125, 0.750, 0.875], [0.125, 0.875, 0.250], [0.250, 0.125, 0.875], [0.250, 0.625, 0.375], [0.375, 0.250, 0.625], [0.375, 0.625, 0.750], [0.500, 0.000, 0.000], [0.500, 0.000, 0.500], [0.500, 0.500, 0.000], [0.500, 0.500, 0.500], [0.625, 0.375, 0.250], [0.625, 0.750, 0.375], [0.750, 0.375, 0.625], [0.750, 0.875, 0.125], [0.875, 0.125, 0.750], [0.875, 0.250, 0.125], [0.125, 0.250, 0.375], [0.125, 0.375, 0.750], [0.250, 0.375, 0.125], [0.250, 0.875, 0.625], [0.375, 0.125, 0.250], [0.375, 0.750, 0.125], [0.625, 0.250, 0.875], [0.625, 0.875, 0.750], [0.750, 0.125, 0.375], [0.750, 0.625, 0.875], [0.875, 0.625, 0.250], [0.875, 0.750, 0.625]],
  "ef_ev_per_atom": 0.0009,
  "dos_ef_per_ev_atom": 0.71
}


{
  "formula": "Rb2Cd2Bi",
  "functional": "PBE",
  "state": "optimized geometry",
  "lattice_angstrom": [[-2.063, 2.063, 12.069], [2.063, -2.063, 12.069], [2.063, 2.063, -12.069]],
  "species": ["Rb", "Rb", "Cd", "Cd", "Bi"],
  "frac_coords": [[0.101, 0.101, 0.000], [0.899, 0.899, 0.000], [0.250, 0.750, 0.500], [0.750, 0.250, 0.500], [0.500, 0.500, 0.000]],
  "ef_ev_per_atom": -0.0827,
  "dos_ef_per_ev_atom": 0.46,
  "de_polymorph_kj_per_mol_fu": 30
}


{
  "formula": "RbCd6Bi4",
  "functional": "PBE",
  "state": "optimized geometry",
  "lattice_angstrom": [[-2.620, 2.620, 13.484], [2.620, -2.620, 13.484], [2.620, 2.620, -13.484]],
  "species": ["Rb", "Cd", "Cd", "Cd", "Cd", "Cd", "Cd", "Bi", "Bi", "Bi", "Bi"],
  "frac_coords": [[0.000, 0.000, 0.000], [0.126, 0.626, 0.500], [0.250, 0.750, 0.500], [0.374, 0.874, 0.500], [0.626, 0.126, 0.500], [0.750, 0.250, 0.500], [0.874, 0.374, 0.500], [0.192, 0.192, 0.000], [0.432, 0.432, 0.000], [0.568, 0.568, 0.000], [0.808, 0.808, 0.000]],
  "ef_ev_per_atom": -0.0512,
  "dos_ef_per_ev_atom": 0.27
}